Crystalline Rb2BMoBr6 at its relaxed geometry, computed with PBE-GGA.

Values from the calculation:
energy relative to the elements, uncorrected = -0.5781 eV/atom
size of the total moment = 3.0 μB per formula unit

Lattice parameters (Å, degrees): 7.569 7.569 7.562 59.97 59.97 90.00
Each line ends with the local moment (μB).
Fractional positions:
Mo 0.000 0.000 0.000  2.47
Br 0.246 0.754 0.000  0.02
Br 0.754 0.754 0.000  0.02
Br 0.754 0.246 0.000  0.02
Br 0.246 0.246 0.000  0.02
Br 0.754 0.754 0.493  0.02
Br 0.246 0.246 0.507  0.02
Rb 0.250 0.750 0.500  0.00
Rb 0.750 0.250 0.500  0.00
B 0.500 0.500 0.000  -0.02

=====

Crystalline B3BrN at its relaxed geometry, computed with PBE-GGA.

Values from the calculation:
energy relative to the elements, uncorrected = 3.5399 eV/atom
size of the total moment = 0.0 μB per formula unit

Lattice parameters (Å, degrees): 4.071 4.071 4.071 90.00 90.00 90.00
Fractional positions:
B 0.000 0.000 0.500
B 0.000 0.500 0.000
B 0.500 0.000 0.000
Br 0.000 0.000 0.000
N 0.500 0.500 0.500

=====

Crystalline BBrN at its relaxed geometry, computed with PBE-GGA.

Values from the calculation:
energy relative to the elements, uncorrected = -0.2622 eV/atom
size of the total moment = 0.0 μB per formula unit

Lattice parameters (Å, degrees): 2.609 7.364 4.095 90.00 91.23 90.00
Fractional positions:
Br 0.500 0.000 0.500
B 0.500 0.500 0.000
N 0.000 0.500 0.000

=====

Crystalline BBr2N at its relaxed geometry, computed with PBE-GGA.

Values from the calculation:
energy relative to the elements, uncorrected = 1.5546 eV/atom
size of the total moment = 3.0 μB per formula unit

Lattice parameters (Å, degrees): 7.131 7.131 7.128 59.98 59.98 90.00
Each line ends with the local moment (μB).
Fractional positions:
Br 0.875 0.624 0.750  0.01
Br 0.375 0.626 0.750  0.01
Br 0.376 0.625 0.250  0.01
Br 0.374 0.125 0.250  0.01
N 0.750 0.250 0.500  1.94
N 0.000 0.000 0.000  1.94
B 0.250 0.750 0.500  0.00
B 0.500 0.500 0.000  0.00

=====

Crystalline B3BrN at its relaxed geometry, computed with PBE-GGA.

Values from the calculation:
energy relative to the elements, uncorrected = 2.3099 eV/atom
size of the total moment = 0.0 μB per formula unit

Lattice parameters (Å, degrees): 3.733 3.733 3.733 90.00 90.00 90.00
Fractional positions:
B 0.500 0.000 0.000
B 0.000 0.000 0.500
B 0.000 0.500 0.000
N 0.000 0.000 0.000
Br 0.500 0.500 0.500

=====

Crystalline BBr2N at its relaxed geometry, computed with PBE-GGA.

Values from the calculation:
energy relative to the elements, uncorrected = 2.3514 eV/atom
size of the total moment = 2.0 μB per formula unit

Lattice parameters (Å, degrees): 4.707 4.707 4.707 60.00 60.00 60.00
Each line ends with the local moment (μB).
Fractional positions:
B 0.000 0.000 0.000  -0.03
Br 0.750 0.750 0.750  -0.11
Br 0.250 0.250 0.250  -0.11
N 0.500 0.500 0.500  1.56

=====

Crystalline BBrN2 at its relaxed geometry, computed with PBE-GGA.

Values from the calculation:
energy relative to the elements, uncorrected = 1.2969 eV/atom
size of the total moment = 0.0 μB per formula unit

Lattice parameters (Å, degrees): 5.979 5.979 5.979 27.27 27.27 27.27
Fractional positions:
N 0.119 0.119 0.119
N 0.881 0.881 0.881
B 0.500 0.500 0.500
Br 0.000 0.000 0.000

=====

Crystalline BBrN at its relaxed geometry, computed with PBE-GGA.

Values from the calculation:
energy relative to the elements, uncorrected = 0.0511 eV/atom
size of the total moment = 0.0 μB per formula unit

Lattice parameters (Å, degrees): 4.593 5.835 6.356 96.54 106.12 96.52
Fractional positions:
Br 0.732 0.413 0.106
Br 0.317 0.072 0.456
N 0.126 0.449 0.062
N 0.228 0.736 0.784
B 0.181 0.591 0.925
B 0.266 0.875 0.650

=====

Crystalline BBrN at its relaxed geometry, computed with PBE-GGA.

Values from the calculation:
energy relative to the elements, uncorrected = -0.2915 eV/atom
size of the total moment = 0.3 μB per formula unit

Lattice parameters (Å, degrees): 7.318 2.614 13.479 90.00 122.89 90.00
Each line ends with the local moment (μB).
Fractional positions:
N 0.297 0.500 0.179  0.07
N 0.297 0.000 0.679  0.07
N 0.482 0.000 0.364  0.43
N 0.482 0.500 0.864  0.43
B 0.244 0.000 0.126  0.01
B 0.435 0.000 0.817  -0.01
B 0.244 0.500 0.626  0.01
B 0.435 0.500 0.317  -0.01
Br 0.065 0.500 0.447  -0.11
Br 0.747 0.500 0.627  0.09
Br 0.747 0.000 0.127  0.09
Br 0.065 0.000 0.947  -0.11

=====

Crystalline BBr2N at its relaxed geometry, computed with PBE-GGA.

Values from the calculation:
energy relative to the elements, uncorrected = 1.5781 eV/atom
size of the total moment = 2.0 μB per formula unit

Lattice parameters (Å, degrees): 7.988 7.988 7.988 28.15 28.15 28.15
Each line ends with the local moment (μB).
Fractional positions:
Br 0.921 0.921 0.921  0.02
Br 0.079 0.079 0.079  0.02
B 0.000 0.000 0.000  -0.17
N 0.500 0.500 0.500  1.56

=====

Crystalline BBrN at its relaxed geometry, computed with PBE-GGA.

Values from the calculation:
energy relative to the elements, uncorrected = -0.3119 eV/atom
size of the total moment = 0.1 μB per formula unit

Lattice parameters (Å, degrees): 2.577 7.515 7.720 85.09 77.98 89.91
Each line ends with the local moment (μB).
Fractional positions:
B 0.820 0.943 0.413  -0.02
B 0.140 0.942 0.702  0.00
Br 0.966 0.939 0.973  0.00
Br 0.150 0.444 0.685  0.00
N 0.368 0.943 0.335  0.16
N 0.691 0.943 0.621  0.01

=====

Crystalline BBrN2 at its relaxed geometry, computed with PBE-GGA.

Values from the calculation:
energy relative to the elements, uncorrected = 1.2442 eV/atom
size of the total moment = 0.0 μB per formula unit

Lattice parameters (Å, degrees): 5.107 5.107 5.107 44.66 44.66 44.66
Fractional positions:
N 0.902 0.902 0.902
N 0.098 0.098 0.098
B 0.000 0.000 0.000
Br 0.500 0.500 0.500

=====

Crystalline BBr2N at its relaxed geometry, computed with PBE-GGA.

Values from the calculation:
energy relative to the elements, uncorrected = 1.8964 eV/atom
size of the total moment = 1.5 μB per formula unit

Lattice parameters (Å, degrees): 7.591 7.591 7.591 26.78 26.78 26.78
Each line ends with the local moment (μB).
Fractional positions:
Br 0.902 0.902 0.902  0.02
Br 0.098 0.098 0.098  0.02
B 0.500 0.500 0.500  0.02
N 0.000 0.000 0.000  0.96

=====

Crystalline BBrN3 at its relaxed geometry, computed with PBE-GGA.

Values from the calculation:
energy relative to the elements, uncorrected = 2.1783 eV/atom
size of the total moment = 0.0 μB per formula unit

Lattice parameters (Å, degrees): 3.480 3.480 3.480 90.00 90.00 90.00
Fractional positions:
N 0.000 0.000 0.500
N 0.000 0.500 0.000
N 0.500 0.000 0.000
B 0.000 0.000 0.000
Br 0.500 0.500 0.500

=====

Crystalline BBrN at its relaxed geometry, computed with PBE-GGA.

Values from the calculation:
energy relative to the elements, uncorrected = 0.0370 eV/atom
size of the total moment = 0.0 μB per formula unit

Lattice parameters (Å, degrees): 5.389 5.199 6.681 74.10 90.20 71.21
Fractional positions:
N 0.757 0.747 0.208
N 0.143 0.606 0.976
B 0.961 0.647 0.107
B 0.541 0.919 0.257
Br 0.325 0.933 0.479
Br 0.423 0.285 0.990

=====

Crystalline BBrN at its relaxed geometry, computed with PBE-GGA.

Values from the calculation:
energy relative to the elements, uncorrected = -0.8015 eV/atom
size of the total moment = 0.0 μB per formula unit

Lattice parameters (Å, degrees): 2.523 4.346 12.007 90.00 96.03 90.00
Fractional positions:
B 0.750 0.608 0.500
B 0.250 0.108 0.500
Br 0.923 0.991 0.846
Br 0.077 0.491 0.154
N 0.750 0.942 0.500
N 0.250 0.442 0.500

=====

Crystalline BBrN3 at its relaxed geometry, computed with PBE-GGA.

Values from the calculation:
energy relative to the elements, uncorrected = 3.6025 eV/atom
size of the total moment = 0.0 μB per formula unit

Lattice parameters (Å, degrees): 3.827 3.827 3.827 90.00 90.00 90.00
Fractional positions:
B 0.500 0.500 0.500
N 0.000 0.000 0.500
N 0.000 0.500 0.000
N 0.500 0.000 0.000
Br 0.000 0.000 0.000

=====

Crystalline BBrN2 at its relaxed geometry, computed with PBE-GGA.

Values from the calculation:
energy relative to the elements, uncorrected = 0.8950 eV/atom
size of the total moment = 0.0 μB per formula unit

Lattice parameters (Å, degrees): 4.667 4.667 4.977 62.04 62.04 90.00
Fractional positions:
B 0.500 0.500 0.000
B 0.250 0.750 0.500
N 0.875 0.734 0.750
N 0.484 0.125 0.250
N 0.266 0.625 0.250
N 0.375 0.516 0.750
Br 0.750 0.250 0.500
Br 0.000 0.000 0.000

=====

Crystalline BBrN2 at its relaxed geometry, computed with PBE-GGA.

Values from the calculation:
energy relative to the elements, uncorrected = 3.1655 eV/atom
size of the total moment = 0.0 μB per formula unit

Lattice parameters (Å, degrees): 3.853 3.853 3.853 60.00 60.00 60.00
Fractional positions:
B 0.000 0.000 0.000
N 0.250 0.250 0.250
N 0.750 0.750 0.750
Br 0.500 0.500 0.500

=====

Crystalline Nd4BBr2N at its relaxed geometry, computed with PBE-GGA.

Values from the calculation:
energy relative to the elements, uncorrected = -1.0867 eV/atom
size of the total moment = 0.0 μB per formula unit

Lattice parameters (Å, degrees): 3.873 6.590 7.794 107.03 90.00 90.00
Fractional positions:
Nd 0.500 0.221 0.183
Nd 0.500 0.779 0.817
Nd 0.000 0.260 0.813
Nd 0.000 0.740 0.187
B 0.500 0.500 0.000
N 0.000 0.000 0.000
Br 0.000 0.500 0.500
Br 0.500 0.000 0.500